Crystalline LaUCo2 at its relaxed geometry. Source: Alexandria, functional GGA-PBE.

Cell: 3.2954 3.2954 7.0758 Å, 90.00 90.00 90.00°
Last column: nearest neighbours and their distance in Å.
Fractional coordinates of all 4 atoms:
La: 0.0000 0.0000 0.0000  8 Co 3.24, 4 La 3.30, 2 U 3.54
U: 0.0000 0.0000 0.5000  8 Co 2.67
Co: 0.5000 0.5000 0.3172  1 Co 2.59, 4 U 2.67
Co: 0.5000 0.5000 0.6828  1 Co 2.59, 4 U 2.67

Calculated values
- calculated volume (A^3/atom) = 19.210
- space-group type = No. 123
- density of states at the Fermi level (states/eV/cell) = 5.82
- energy of formation (eV/atom) = -0.063